1.
VASP calculation (PBE) on a relaxed structure of Sm2PaCr2C4.

abc: 3.472 6.789 6.124
angles: 109.23 90.00 104.82
Element x y z (fractional)
Sm 0.864 0.728 0.456
Sm 0.136 0.272 0.544
Pa 0.000 0.000 0.000
Cr 0.316 0.632 0.011
Cr 0.684 0.368 0.989
C 0.785 0.570 0.816
C 0.215 0.430 0.184
C 0.459 0.918 0.238
C 0.541 0.082 0.762

* calculated total energy: -76.0 eV per formula unit
* formation enthalpy at 0 K: -0.0998 eV/atom



2.
VASP calculation (PBE) on a relaxed structure of SmPaCrC3.

abc: 3.823 6.919 7.082
angles: 105.16 90.00 106.04
Element x y z (fractional)
Sm 0.356 0.713 0.923
Sm 0.644 0.287 0.077
Pa 0.648 0.296 0.569
Pa 0.352 0.704 0.431
Cr 0.994 0.987 0.258
Cr 0.006 0.013 0.742
C 0.846 0.692 0.190
C 0.835 0.670 0.640
C 0.503 0.005 0.265
C 0.165 0.330 0.360
C 0.497 0.995 0.735
C 0.154 0.308 0.810

* calculated total energy: -52.5 eV per formula unit
* formation enthalpy at 0 K: -0.1573 eV/atom



The lowest calculated total energy belongs to which entry?
Sm2PaCr2C4



Which of these has the highest formation enthalpy at 0 K?
Sm2PaCr2C4



What is the formula in the first record?
Sm2PaCr2C4



Look up the calculated total energy of the second one.
-52.5 eV per formula unit